Here is a relaxed structure of TaSb from Alexandria. Energies are from PBE.

Cell lengths 3.0653, 3.0653, 10.5113 Å; angles 90.00, 90.00, 106.19 degrees
With the nearest neighbours (Å) after each atom.
Sites, in units of the cell vectors:
Sb 0.0000 0.0000 0.0629  2 Ta 2.87, 4 Sb 3.07
Sb 0.5000 0.5000 0.6871  2 Ta 2.87, 4 Sb 3.07
Ta 0.0000 0.0000 0.4775  6 Ta 2.83-3.07, 2 Sb 2.87
Ta 0.5000 0.5000 0.2725  6 Ta 2.83-3.07, 2 Sb 2.87

Values from the calculation:
Energy relative to the elements, uncorrected (meV/atom): -22
ρ (g/cm³): 10.6
Raw total energy (eV per formula unit): -16.02
M_tot (μB/cell): 0.0